DFT (GGA+U) results for an optimized crystal structure of VRhO3. Values from VASP.

Values from the calculation:
As for the space-group type: C2/m (12). The uncorrected energy is -7.06 eV/atom. Its density is 5671 kg/m³. As for the total magnetization: 0.40 μB/atom. Its density of states at the Fermi level is 1.21 states/eV/f.u.

Geometry as Quantum ESPRESSO input:
```
&SYSTEM
  ibrav = 0, nat = 10, ntyp = 3
/
ATOMIC_SPECIES
O 16.00 O.upf
Rh 102.91 Rh.upf
V 50.94 V.upf
CELL_PARAMETERS angstrom
-2.604 -0.988 -0.789
2.457 -4.658 3.042
-3.097 4.166 4.987
ATOMIC_POSITIONS crystal
O 0.187 0.375 0.581
O 0.024 0.048 0.270
O 0.976 0.952 0.730
Rh 0.153 0.306 0.845
O 0.334 0.668 0.947
Rh 0.847 0.694 0.155
O 0.813 0.625 0.419
V 0.633 0.267 0.366
O 0.666 0.332 0.053
V 0.367 0.733 0.634
```